(1)
# Mn5Ru4, optimized geometry, DFT PBEsol
# Total magnetic moment in Bohr magnetons per cell: 1.24
# Calculated volume in Å³/atom: 11.79
# DOS at the Fermi energy in states/eV/cell: 12.73
# Energy relative to the elements in eV/atom: 0.12
data_Mn5Ru4
_cell_length_a 5.708
_cell_length_b 5.708
_cell_length_c 5.708
_cell_angle_alpha 95.77
_cell_angle_beta 95.77
_cell_angle_gamma 143.01
_symmetry_space_group_name_H-M 'P 1'
_symmetry_Int_Tables_number 1
loop_
_symmetry_equiv_pos_as_xyz
'x,y,z'
loop_
_atom_site_label
_atom_site_fract_x
_atom_site_fract_y
_atom_site_fract_z
_atom_site_occupancy
Mn1 0.000 0.000 0.000 1
Mn2 0.337 0.337 0.673 1
Mn3 0.337 0.663 0.000 1
Mn4 0.663 0.337 0.000 1
Mn5 0.663 0.663 0.327 1
Ru1 0.000 0.322 0.322 1
Ru2 0.000 0.678 0.678 1
Ru3 0.322 0.000 0.322 1
Ru4 0.678 0.000 0.678 1

=====

(2)
# ZnSiTe2, optimized geometry, DFT PBEsol
# Formation energy (no corrections) in meV per atom: 316
# Total magnetic moment in Bohr magnetons per cell: 0.00
# Calculated volume in Å³/atom: 21.58
# DOS at the Fermi energy in states/eV/cell: 2.68
data_ZnSiTe2
_cell_length_a 4.961
_cell_length_b 4.961
_cell_length_c 4.961
_cell_angle_alpha 60.00
_cell_angle_beta 60.00
_cell_angle_gamma 60.00
_symmetry_space_group_name_H-M 'P 1'
_symmetry_Int_Tables_number 1
loop_
_symmetry_equiv_pos_as_xyz
'x,y,z'
loop_
_atom_site_label
_atom_site_fract_x
_atom_site_fract_y
_atom_site_fract_z
_atom_site_occupancy
Zn1 0.000 0.000 0.000 1
Si1 0.500 0.500 0.500 1
Te1 0.250 0.250 0.250 1
Te2 0.750 0.750 0.750 1